Below is a relaxed Tl3Ni3RhO8 crystal, with properties calculated at the GGA+U level.

a b c (Å): 6.853 6.853 6.853
angles (deg): 54.43 54.43 54.43
Atoms (fractional coordinates):
Tl 0.000 0.500 0.500
Tl 0.500 0.000 0.500
Tl 0.500 0.500 0.000
Ni 0.000 0.000 0.500
Ni 0.000 0.500 0.000
Ni 0.500 0.000 0.000
Rh 0.500 0.500 0.500
O 0.222 0.222 0.222
O 0.253 0.719 0.719
O 0.281 0.281 0.747
O 0.281 0.747 0.281
O 0.719 0.253 0.719
O 0.719 0.719 0.253
O 0.747 0.281 0.281
O 0.778 0.778 0.778

Properties
crystal system: trigonal
total moment: 4.5 μB/cell
density of states at the Fermi level: 6.075 states/eV/cell
raw total energy: -4.8292 eV/atom
symmetry: No. 166